# 1
Below is a relaxed Pr7Er3Tm2 crystal, with properties calculated at the PBE-GGA level.

Results
Magnetic moment: 0.00 μB/cell
DFT formation energy: 98 meV per atom
Electronic total energy: -4.576 eV/atom
ρ: 7.432 g/cm3

The structure in CIF format:
```
data_Pr7Er3Tm2
_cell_length_a 5.888
_cell_length_b 3.627
_cell_length_c 19.151
_cell_angle_alpha 90.00
_cell_angle_beta 94.08
_cell_angle_gamma 90.00
_symmetry_space_group_name_H-M 'P 1 2/m 1'
_symmetry_Int_Tables_number 10
loop_
_symmetry_equiv_pos_as_xyz
'x,y,z'
'-x,-y,-z'
'-x,y,-z'
'x,-y,z'
loop_
_atom_site_label
_atom_site_type_symbol
_atom_site_fract_x
_atom_site_fract_y
_atom_site_fract_z
Pr1 Pr 0.000 0.000 0.000
Pr2 Pr 0.174 0.500 0.186
Pr3 Pr 0.258 0.500 0.534
Pr4 Pr 0.330 0.000 0.854
Er1 Er 0.215 0.000 0.367
Er2 Er 0.500 0.500 0.000
Tm1 Tm 0.295 0.500 0.701
```


# 2
Below is a relaxed PrEr6Tm crystal, with properties calculated at the PBE-GGA level.

Results
Magnetic moment: 0.00 μB/cell
DFT formation energy: 227 meV per atom
Electronic total energy: -4.351 eV/atom
ρ: 8.570 g/cm3

The structure in CIF format:
```
data_PrEr6Tm
_cell_length_a 6.698
_cell_length_b 11.631
_cell_length_c 6.546
_cell_angle_alpha 90.00
_cell_angle_beta 93.52
_cell_angle_gamma 90.00
_symmetry_space_group_name_H-M 'C 1 2/m 1'
_symmetry_Int_Tables_number 12
loop_
_symmetry_equiv_pos_as_xyz
'x,y,z'
'-x,-y,-z'
'-x,y,-z'
'x,-y,z'
'x+1/2,y+1/2,z'
'-x+1/2,-y+1/2,-z'
'-x+1/2,y+1/2,-z'
'x+1/2,-y+1/2,z'
loop_
_atom_site_label
_atom_site_type_symbol
_atom_site_fract_x
_atom_site_fract_y
_atom_site_fract_z
Pr1 Pr 0.000 0.000 0.000
Er1 Er 0.045 0.500 0.253
Er2 Er 0.176 0.253 0.740
Tm1 Tm 0.000 0.000 0.500
```


# 3
Below is a relaxed Pr4ErTm6 crystal, with properties calculated at the PBE-GGA level.

Results
Magnetic moment: 0.00 μB/cell
DFT formation energy: 293 meV per atom
Electronic total energy: -4.299 eV/atom
ρ: 7.730 g/cm3

The structure in CIF format:
```
data_Pr4ErTm6
_cell_length_a 6.653
_cell_length_b 6.653
_cell_length_c 16.933
_cell_angle_alpha 90.00
_cell_angle_beta 90.00
_cell_angle_gamma 90.00
_symmetry_space_group_name_H-M 'I -4 2 m'
_symmetry_Int_Tables_number 121
_symmetry_space_group_name_Hall 'I -4 2'
loop_
_atom_site_label
_atom_site_type_symbol
_atom_site_fract_x
_atom_site_fract_y
_atom_site_fract_z
Pr1 Pr 0.190 0.190 0.324
Er1 Er 0.000 0.000 0.500
Tm1 Tm 0.000 0.500 0.000
Tm2 Tm 0.178 0.178 0.123
```


Q: magnetic moment of number 2 (PrEr6Tm)?
A: 0.00 μB/cell


Q: The lowest DFT formation energy belongs to which entry?
A: Pr7Er3Tm2


Q: Which value of electronic total energy does entry 3 give?
A: -4.299 eV/atom